[1]
Material: Os2PtCl
Method: DFT, GGA-PBE
State: relaxed

Calculated values
Space-group type: Pmm2
Formation energy from raw total energies, eV per atom: 0.4779
N(E_F), states/eV per atom: 0.564
Relative energy among the computed polymorphs, meV/atom: 88.3

Geometry as POSCAR:
```
Os2PtCl
1.0
2.811 0.000 0.000
0.000 3.498 0.000
0.000 0.000 6.972
Os Pt Cl
2 1 1
direct
0.000 0.000 0.000 Os
0.500 0.500 0.179 Os
0.500 0.500 0.772 Pt
0.500 0.000 0.451 Cl
```

---

[2]
Material: Os2PtCl
Method: DFT, GGA-PBE
State: relaxed

Calculated values
Space-group type: Cmmm
Formation energy from raw total energies, eV per atom: 0.8818
N(E_F), states/eV per atom: 1.305
Relative energy among the computed polymorphs, meV/atom: 492.3

Geometry as POSCAR:
```
Os2PtCl
1.0
1.363 -2.467 0.000
1.363 2.467 0.000
0.000 0.000 9.137
Os Pt Cl
2 1 1
direct
0.000 0.000 0.242 Os
0.000 0.000 0.758 Os
0.500 0.500 0.500 Pt
0.500 0.500 0.000 Cl
```

---

[3]
Material: OsPtCl3
Method: DFT, GGA-PBE
State: relaxed

Calculated values
Space-group type: Pm-3m
Formation energy from raw total energies, eV per atom: 1.1744
N(E_F), states/eV per atom: 2.871
Relative energy among the computed polymorphs, meV/atom: 215.9

Geometry as POSCAR:
```
OsPtCl3
1.0
4.912 0.000 0.000
0.000 4.912 0.000
0.000 0.000 4.912
Os Pt Cl
1 1 3
direct
0.000 0.000 0.000 Os
0.500 0.500 0.500 Pt
0.000 0.500 0.500 Cl
0.500 0.000 0.500 Cl
0.500 0.500 0.000 Cl
```

---

[4]
Material: OsPtCl2
Method: DFT, GGA-PBE
State: relaxed

Calculated values
Space-group type: Cmmm
Formation energy from raw total energies, eV per atom: 0.6759
N(E_F), states/eV per atom: 1.158
Relative energy among the computed polymorphs, meV/atom: 529.4

Geometry as POSCAR:
```
OsPtCl2
1.0
1.403 -2.612 0.000
1.403 2.612 0.000
0.000 0.000 10.473
Os Pt Cl
1 1 2
direct
0.000 0.000 0.000 Os
0.000 0.000 0.500 Pt
0.500 0.500 0.183 Cl
0.500 0.500 0.817 Cl
```